No. 1
# SmZr2O

An optimized crystal structure of SmZr2O (PBE, Alexandria).

The structure belongs to space group R-3m (No. 166, hexagonal axes); the cell edges are 3.3896, 3.3896 and 25.9068 Å and the angles 90.00°, 90.00° and 120.00°. The asymmetric unit holds Sm at (0.0000, 0.0000, 0.0000), Zr at (0.0000, 0.0000, 0.1218) and O at (0.0000, 0.0000, 0.5000).

The calculation puts the calculated volume at 21.482 Å³ per atom. The calculation puts the raw total energy at -91.4 eV/cell. The formation energy from raw total energies comes out at -3.69 eV per formula unit. The calculation puts the total magnetization at 0.0 μB/f.u.



No. 2
# Sm4ZrO8

An optimized crystal structure of Sm4ZrO8 (PBE, Alexandria).

The structure belongs to space group Immm (No. 71); the cell edges are 3.760, 3.900 and 27.717 Å and the angles 90.00°, 90.00° and 90.00°. The asymmetric unit holds Sm at (0.000, 0.000, 0.091), Sm at (0.000, 0.000, 0.295), Zr at (0.000, 0.000, 0.500), O at (0.000, 0.500, 0.045), O at (0.000, 0.500, 0.148), O at (0.000, 0.500, 0.259) and O at (0.000, 0.500, 0.453).

The calculation puts the calculated volume at 15.634 Å³ per atom. The calculation puts the raw total energy at -218.8 eV/cell. The formation energy from raw total energies comes out at -42.29 eV per formula unit. The calculation puts the total magnetization at 0.0 μB/f.u.



No. 3
# SnO2

An optimized crystal structure of SnO2 (PBE, Alexandria).

The structure belongs to space group Pbca (No. 61); the cell edges are 5.155, 10.163 and 5.243 Å and the angles 90.00°, 90.00° and 90.00°. The asymmetric unit holds Sn at (0.229, 0.118, 0.031), O at (0.005, 0.522, 0.759) and O at (0.136, 0.710, 0.369).

The calculation puts the calculated volume at 11.445 Å³ per atom. The calculation puts the raw total energy at -147.6 eV/cell. The formation energy from raw total energies comes out at -4.53 eV per formula unit. The calculation puts the total magnetization at 0.0 μB/f.u.



No. 4
# Sn3O4

An optimized crystal structure of Sn3O4 (PBE, Alexandria).

The structure belongs to space group P4/mnc (No. 128); the cell edges are 8.896, 8.896 and 7.378 Å and the angles 90.00°, 90.00° and 90.00°. The asymmetric unit holds Sn at (0.000, 0.000, 0.193), Sn at (0.194, 0.195, 0.500) and O at (0.000, 0.212, 0.318).

The calculation puts the calculated volume at 20.854 Å³ per atom. The calculation puts the raw total energy at -158.1 eV/cell. The formation energy from raw total energies comes out at -7.68 eV per formula unit. The calculation puts the total magnetization at 1.0 μB/f.u.



No. 5
# SnO2

An optimized crystal structure of SnO2 (PBE, Alexandria).

The structure belongs to space group Pbcn (No. 60); the cell edges are 4.792, 5.836 and 16.125 Å and the angles 90.00°, 90.00° and 90.00°. The asymmetric unit holds Sn at (0.000, 0.030, 0.250), Sn at (0.003, 0.348, 0.084), O at (0.207, 0.374, 0.529), O at (0.212, 0.073, 0.362) and O at (0.227, 0.304, 0.195).

The calculation puts the calculated volume at 12.526 Å³ per atom. The calculation puts the raw total energy at -225.8 eV/cell. The formation energy from raw total energies comes out at -4.89 eV per formula unit. The calculation puts the total magnetization at 0.0 μB/f.u.



No. 6
# SnO2

An optimized crystal structure of SnO2 (PBE, Alexandria).

The structure belongs to space group Pnma (No. 62); the cell edges are 9.310, 3.227 and 11.392 Å and the angles 90.00°, 90.00° and 90.00°. The asymmetric unit holds Sn at (0.059, 0.250, 0.115), Sn at (0.080, 0.250, 0.606), O at (0.023, 0.750, 0.715), O at (0.076, 0.250, 0.927), O at (0.117, 0.750, 0.491) and O at (0.201, 0.750, 0.148).

The calculation puts the calculated volume at 14.262 Å³ per atom. The calculation puts the raw total energy at -148.8 eV/cell. The formation energy from raw total energies comes out at -4.68 eV per formula unit. The calculation puts the total magnetization at 0.0 μB/f.u.



No. 7
# SnO2

An optimized crystal structure of SnO2 (PBE, Alexandria).

The structure belongs to space group P6_3/mmc (No. 194); the cell edges are 4.0561, 4.0561 and 7.5597 Å and the angles 90.00°, 90.00° and 120.00°. The asymmetric unit holds Sn at (0.3333, 0.6667, 0.2500) and O at (0.3333, 0.6667, 0.6475).

The calculation puts the calculated volume at 17.952 Å³ per atom. The calculation puts the raw total energy at -29.9 eV/cell. The formation energy from raw total energies comes out at -1.05 eV per formula unit. The calculation puts the total magnetization at 0.0 μB/f.u.



No. 8
# SnO2

An optimized crystal structure of SnO2 (PBE, Alexandria).

The structure belongs to space group R-3m (No. 166, hexagonal axes); the cell edges are 3.2420, 3.2420 and 14.1979 Å and the angles 90.00°, 90.00° and 120.00°. The asymmetric unit holds Sn at (0.0000, 0.0000, 0.0000) and O at (0.0000, 0.0000, 0.2625).

The calculation puts the calculated volume at 14.360 Å³ per atom. The calculation puts the raw total energy at -55.2 eV/cell. The formation energy from raw total energies comes out at -4.47 eV per formula unit. The calculation puts the total magnetization at 0.0 μB/f.u.



No. 9
# SnO2

An optimized crystal structure of SnO2 (PBE, Alexandria).

The structure belongs to space group Pbcn (No. 60); the cell edges are 4.792, 5.829 and 5.312 Å and the angles 90.00°, 90.00° and 90.00°. The asymmetric unit holds Sn at (0.000, 0.165, 0.250) and O at (0.230, 0.107, 0.578).

The calculation puts the calculated volume at 12.365 Å³ per atom. The calculation puts the raw total energy at -75.2 eV/cell. The formation energy from raw total energies comes out at -4.87 eV per formula unit. The calculation puts the total magnetization at 0.0 μB/f.u.



No. 10
# Sn4O

An optimized crystal structure of Sn4O (PBE, Alexandria).

The structure belongs to space group Pm-3m (No. 221); the cell edges are 4.926, 4.926 and 4.926 Å and the angles 90.00°, 90.00° and 90.00°. The asymmetric unit holds Sn at (0.000, 0.000, 0.000), Sn at (0.000, 0.500, 0.500) and O at (0.500, 0.500, 0.500).

The calculation puts the calculated volume at 23.912 Å³ per atom. The calculation puts the raw total energy at -22.3 eV/cell. The formation energy from raw total energies comes out at -1.31 eV per formula unit. The calculation puts the total magnetization at 0.0 μB/f.u.



No. 11
# SnO2

An optimized crystal structure of SnO2 (PBE, Alexandria).

The structure belongs to space group Cmcm (No. 63); the cell edges are 3.216, 10.083 and 10.434 Å and the angles 90.00°, 90.00° and 90.00°. The asymmetric unit holds Sn at (0.000, 0.137, 0.081), O at (0.000, 0.050, 0.250), O at (0.000, 0.234, 0.602) and O at (0.000, 0.500, 0.000).

The calculation puts the calculated volume at 14.099 Å³ per atom. The calculation puts the raw total energy at -143.5 eV/cell. The formation energy from raw total energies comes out at -4.01 eV per formula unit. The calculation puts the total magnetization at 0.0 μB/f.u.



No. 12
# SnO2

An optimized crystal structure of SnO2 (PBE, Alexandria).

The structure belongs to space group I4_1/amd (No. 141, origin choice 2); the cell edges are 4.055, 4.055 and 10.373 Å and the angles 90.00°, 90.00° and 90.00°. The asymmetric unit holds Sn at (0.000, 0.250, 0.375) and O at (0.000, 0.250, 0.173).

The calculation puts the calculated volume at 14.216 Å³ per atom. The calculation puts the raw total energy at -74.7 eV/cell. The formation energy from raw total energies comes out at -4.76 eV per formula unit. The calculation puts the total magnetization at 0.0 μB/f.u.



No. 13
# SnO2

An optimized crystal structure of SnO2 (PBE, Alexandria).

The structure belongs to space group I4/m (No. 87); the cell edges are 10.809, 10.809 and 3.233 Å and the angles 90.00°, 90.00° and 90.00°. The asymmetric unit holds Sn at (0.150, 0.666, 0.000), O at (0.041, 0.340, 0.000) and O at (0.156, 0.791, 0.500).

The calculation puts the calculated volume at 15.741 Å³ per atom. The calculation puts the raw total energy at -149.2 eV/cell. The formation energy from raw total energies comes out at -4.73 eV per formula unit. The calculation puts the total magnetization at 0.0 μB/f.u.



No. 14
# SnO2

An optimized crystal structure of SnO2 (PBE, Alexandria).

The structure belongs to space group P6_3/mmc (No. 194); the cell edges are 3.2309, 3.2309 and 11.0920 Å and the angles 90.00°, 90.00° and 120.00°. The asymmetric unit holds Sn at (0.0000, 0.0000, 0.0000) and O at (0.3333, 0.6667, 0.0914).

The calculation puts the calculated volume at 16.712 Å³ per atom. The calculation puts the raw total energy at -36.7 eV/cell. The formation energy from raw total energies comes out at -4.45 eV per formula unit. The calculation puts the total magnetization at 0.0 μB/f.u.



No. 15
# SnO2

An optimized crystal structure of SnO2 (PBE, Alexandria).

The structure belongs to space group Pa-3 (No. 205); the cell edges are 5.174, 5.174 and 5.174 Å and the angles 90.00°, 90.00° and 90.00°. The asymmetric unit holds Sn at (0.000, 0.000, 0.000) and O at (0.161, 0.661, 0.839).

The calculation puts the calculated volume at 11.541 Å³ per atom. The calculation puts the raw total energy at -74.2 eV/cell. The formation energy from raw total energies comes out at -4.62 eV per formula unit. The calculation puts the total magnetization at 0.0 μB/f.u.



No. 16
# SnO2

An optimized crystal structure of SnO2 (PBE, Alexandria).

The structure belongs to space group Fd-3m (No. 227, origin choice 2); the cell edges are 9.050, 9.050 and 9.050 Å and the angles 90.00°, 90.00° and 90.00°. The asymmetric unit holds Sn at (0.000, 0.000, 0.000) and O at (0.016, 0.016, 0.234).

The calculation puts the calculated volume at 15.440 Å³ per atom. The calculation puts the raw total energy at -292.3 eV/cell. The formation energy from raw total energies comes out at -4.35 eV per formula unit. The calculation puts the total magnetization at 0.0 μB/f.u.



No. 17
# SnO2

An optimized crystal structure of SnO2 (PBE, Alexandria).

The structure belongs to space group P4_2/mnm (No. 136); the cell edges are 4.831, 4.831 and 3.242 Å and the angles 90.00°, 90.00° and 90.00°. The asymmetric unit holds Sn at (0.000, 0.000, 0.000) and O at (0.193, 0.193, 0.500).

The calculation puts the calculated volume at 12.610 Å³ per atom. The calculation puts the raw total energy at -37.7 eV/cell. The formation energy from raw total energies comes out at -4.93 eV per formula unit. The calculation puts the total magnetization at 0.0 μB/f.u.



No. 18
# SnO2

An optimized crystal structure of SnO2 (PBE, Alexandria).

The structure belongs to space group Fm-3m (No. 225); the cell edges are 5.148, 5.148 and 5.148 Å and the angles 90.00°, 90.00° and 90.00°. The asymmetric unit holds Sn at (0.000, 0.000, 0.000) and O at (0.250, 0.250, 0.250).

The calculation puts the calculated volume at 11.372 Å³ per atom. The calculation puts the raw total energy at -72.5 eV/cell. The formation energy from raw total energies comes out at -4.19 eV per formula unit. The calculation puts the total magnetization at 0.0 μB/f.u.



No. 19
# Sr2SnO4

An optimized crystal structure of Sr2SnO4 (PBE, Alexandria).

The structure belongs to space group P4_2/ncm (No. 138, origin choice 2); the cell edges are 5.876, 5.876 and 12.518 Å and the angles 90.00°, 90.00° and 90.00°. The asymmetric unit holds Sr at (0.015, 0.015, 0.147), Sn at (0.000, 0.000, 0.500), O at (0.044, 0.044, 0.663), O at (0.250, 0.250, 0.469) and O at (0.250, 0.750, 0.000).

The calculation puts the calculated volume at 15.439 Å³ per atom. As for the distance to the lowest polymorph of the same formula: 0.000 kcal/mol of atoms. The calculation puts the raw total energy at -175.7 eV/cell. The formation energy from raw total energies comes out at -16.72 eV per formula unit. The calculation puts the total magnetization at 0.0 μB/f.u.